a:
ThSi2W | PBE | relaxed

Computed properties:
spin magnetization = 0.0 μB/cell
crystal system = trigonal
ρ = 9.948 g/cm3

```
4
Lattice="-1.793 2.611 2.912 -2.619 -1.610 3.009 2.376 -0.351 4.956" Properties=species:S:1:pos:R:3 pbc="T T T"
Si -1.095 0.411 8.492
Si -0.941 0.239 2.385
W 0.000 0.000 0.000
Th -1.018 0.325 5.439
```

---

b:
ThSi2W | PBE | relaxed

Computed properties:
spin magnetization = 0.0 μB/cell
crystal system = orthorhombic
ρ = 10.244 g/cm3

```
16
Lattice="-1.879 -0.508 3.395 1.317 -7.488 -0.391 8.835 1.289 5.081" Properties=species:S:1:pos:R:3 pbc="T T T"
Th 0.904 -6.673 2.885
Th 7.370 -0.035 5.200
Th 2.311 -2.627 4.269
Th 5.962 -4.081 3.816
Si 6.855 -5.598 6.338
Si 1.419 -1.110 1.747
Si 5.124 -2.010 5.917
Si 3.150 -4.698 2.167
Si 3.403 -5.594 4.429
Si 8.707 -4.394 5.287
Si -0.433 -2.313 2.798
Si 4.871 -1.114 3.656
W 1.061 -3.669 1.166
W 4.368 -7.026 2.493
W 7.213 -3.039 6.919
W 3.906 0.319 5.592
```

---

Which one sits at the top of the stability order? b does.

---

a:
YThSi | PBE | relaxed

Computed properties:
spin magnetization = 0.0 μB/cell
crystal system = cubic
ρ = 6.900 g/cm3

```
3
Lattice="4.916 0.000 0.000 2.458 4.257 0.000 2.458 1.419 4.014" Properties=species:S:1:pos:R:3 pbc="T T T"
Y 0.000 0.000 0.000
Si 2.458 1.419 1.003
Th 4.916 2.838 2.007
```

---

b:
YThSi | PBE | relaxed

Computed properties:
spin magnetization = 0.0 μB/cell
crystal system = orthorhombic
ρ = 6.630 g/cm3

```
12
Lattice="-1.147 6.979 2.247 -2.158 -0.369 -7.090 -4.478 -4.940 4.373" Properties=species:S:1:pos:R:3 pbc="T T T"
Th -2.645 2.988 -0.162
Th -4.311 -2.971 0.901
Th -4.884 0.518 2.025
Th -3.724 2.803 -3.707
Si -4.337 -2.406 -4.352
Si -1.340 5.576 0.464
Si -3.951 0.401 -0.787
Si -1.965 1.034 -5.307
Y -2.528 -0.571 -3.084
Y -1.615 -0.431 0.514
Y -6.167 2.100 -0.985
Y -5.759 -1.433 -2.056
```

---

Which one sits at the top of the stability order? a does.

---

a:
YThSi2 | PBE | relaxed

Computed properties:
spin magnetization = 0.0 μB/cell
crystal system = trigonal
ρ = 6.329 g/cm3

```
4
Lattice="4.586 0.000 0.000 2.293 3.971 0.000 2.293 1.324 5.433" Properties=species:S:1:pos:R:3 pbc="T T T"
Y 4.586 2.648 2.716
Si 6.879 3.971 3.963
Si 2.293 1.324 1.470
Th 0.000 0.000 0.000
```

---

b:
YThSi2 | PBE | relaxed

Computed properties:
spin magnetization = 0.0 μB/cell
crystal system = orthorhombic
ρ = 6.756 g/cm3

```
4
Lattice="-2.179 -1.094 3.603 3.167 -1.983 1.313 2.873 5.004 0.626" Properties=species:S:1:pos:R:3 pbc="T T T"
Y 1.252 4.132 3.219
Th 1.838 0.645 2.514
Si 3.697 3.117 1.762
Si 1.577 2.769 0.377
```

---

Which one sits at the top of the stability order? b does.

---

a:
Ti5Si3 | PBE | relaxed

Computed properties:
spin magnetization = 0.0 μB/cell
crystal system = tetragonal
ρ = 4.367 g/cm3

```
16
Lattice="5.893 0.000 -2.880 -1.407 5.723 -2.880 -0.052 -0.066 7.363" Properties=species:S:1:pos:R:3 pbc="T T T"
Ti 0.000 0.000 0.000
Ti 2.243 2.861 -2.880
Ti 2.964 0.022 3.620
Ti 0.088 3.871 2.626
Ti 3.277 2.883 1.683
Ti -0.226 1.010 4.562
Ti 1.470 5.634 -2.016
Ti 4.346 1.785 -1.022
Ti 1.156 2.773 -0.079
Ti 4.659 4.647 -2.959
Si 3.338 4.259 -0.638
Si 1.095 1.397 2.242
Si -0.115 3.612 -2.196
Si 4.601 2.111 -3.564
Si 1.989 0.751 -1.440
Si 2.497 4.972 -4.320
```

---

b:
Ti5Si3 | PBE | relaxed

Computed properties:
spin magnetization = 0.0 μB/cell
crystal system = hexagonal
ρ = 4.352 g/cm3

```
16
Lattice="7.465 0.000 0.000 -3.732 6.465 0.000 0.000 0.000 5.117" Properties=species:S:1:pos:R:3 pbc="T T T"
Ti 0.000 4.310 0.000
Ti 3.732 2.155 2.558
Ti 3.732 2.155 0.000
Ti 0.000 4.310 2.558
Ti 1.869 0.000 1.279
Ti 0.934 1.619 3.838
Ti -2.798 4.846 3.838
Ti -0.934 1.619 1.279
Ti 2.798 4.846 1.279
Ti 5.596 0.000 3.838
Si 4.539 0.000 1.279
Si 2.270 3.931 3.838
Si -1.463 2.533 3.838
Si -2.270 3.931 1.279
Si 1.463 2.533 1.279
Si 2.925 0.000 3.838
```

---

Which one sits at the top of the stability order? b does.

---

a:
TiTl2Si | PBE | relaxed

Computed properties:
spin magnetization = 0.0 μB/cell
crystal system = tetragonal
ρ = 8.947 g/cm3

```
8
Lattice="7.931 0.000 0.000 0.000 7.931 0.000 3.966 3.966 2.860" Properties=species:S:1:pos:R:3 pbc="T T T"
Tl 5.827 1.983 0.715
Tl 2.104 5.948 0.715
Tl 5.948 6.070 2.145
Tl 9.914 9.793 2.145
Si 3.966 3.966 0.000
Si 3.966 7.931 1.430
Ti 0.000 0.000 0.000
Ti 7.931 3.966 1.430
```

---

b:
TiTl2Si | PBE | relaxed

Computed properties:
spin magnetization = 1.9 μB/cell
crystal system = cubic
ρ = 8.837 g/cm3

```
4
Lattice="0.000 3.571 3.571 3.571 0.000 3.571 3.571 3.571 0.000" Properties=species:S:1:pos:R:3 pbc="T T T"
Tl 1.786 1.786 1.786
Tl 5.357 5.357 5.357
Si 0.000 0.000 0.000
Ti 3.571 3.571 3.571
```

---

Which one sits at the top of the stability order? a does.

---

a:
TiTlSi2 | PBE | relaxed

Computed properties:
spin magnetization = 1.0 μB/cell
crystal system = cubic
ρ = 6.732 g/cm3

```
4
Lattice="0.000 3.363 3.363 3.363 0.000 3.363 3.363 3.363 0.000" Properties=species:S:1:pos:R:3 pbc="T T T"
Tl 3.363 3.363 3.363
Si 1.682 1.682 1.682
Si 5.045 5.045 5.045
Ti 0.000 0.000 0.000
```

---

b:
TiTlSi2 | PBE | relaxed

Computed properties:
spin magnetization = 0.0 μB/cell
crystal system = tetragonal
ρ = 6.399 g/cm3

```
8
Lattice="7.550 0.000 0.000 0.000 7.550 0.000 3.775 3.775 2.808" Properties=species:S:1:pos:R:3 pbc="T T T"
Tl 0.000 0.000 0.000
Tl 7.550 3.775 1.404
Si 5.439 1.888 0.702
Si 2.112 5.663 0.702
Si 5.663 5.887 2.106
Si 9.438 9.214 2.106
Ti 3.775 3.775 0.000
Ti 3.775 7.550 1.404
```

---

Which one sits at the top of the stability order? b does.

---

a:
TmTiSi2 | PBE | relaxed

Computed properties:
spin magnetization = 0.0 μB/cell
crystal system = trigonal
ρ = 5.790 g/cm3

```
4
Lattice="-1.496 -0.595 3.323 -3.296 -1.641 0.274 1.373 -6.667 1.475" Properties=species:S:1:pos:R:3 pbc="T T T"
Si -2.467 -6.871 3.813
Si -0.952 -2.032 1.259
Tm -1.710 -4.451 2.536
Ti 0.000 0.000 0.000
```

---

b:
TmTiSi2 | PBE | relaxed

Computed properties:
spin magnetization = 0.0 μB/cell
crystal system = orthorhombic
ρ = 6.356 g/cm3

```
8
Lattice="3.702 0.000 0.000 0.000 5.344 0.000 0.000 0.000 7.209" Properties=species:S:1:pos:R:3 pbc="T T T"
Tm 0.000 0.666 4.889
Tm 0.000 4.679 1.284
Ti 1.851 1.998 2.294
Ti 1.851 3.346 5.898
Si 0.000 3.216 3.900
Si 0.000 2.128 0.296
Si 1.851 4.655 3.336
Si 1.851 0.689 6.940
```

---

Which one sits at the top of the stability order? b does.

---

a:
TiVSi2 | PBE | relaxed

Computed properties:
spin magnetization = 0.0 μB/cell
crystal system = triclinic
ρ = 4.646 g/cm3

```
4
Lattice="-2.031 1.008 -1.570 2.259 -0.056 -2.937 -2.680 -5.585 2.726" Properties=species:S:1:pos:R:3 pbc="T T T"
Ti 1.198 -1.168 -2.398
V -2.287 -3.428 -0.352
Si -1.594 -1.855 -2.184
Si -2.980 -5.001 1.480
```

---

b:
TiVSi2 | PBE | relaxed

Computed properties:
spin magnetization = 0.0 μB/cell
crystal system = trigonal
ρ = 4.158 g/cm3

```
4
Lattice="3.483 0.000 0.000 1.741 3.016 0.000 1.741 1.005 5.892" Properties=species:S:1:pos:R:3 pbc="T T T"
Si 1.741 1.005 1.404
Si 5.224 3.016 4.488
Ti 3.483 2.011 2.946
V 0.000 0.000 0.000
```

---

c:
TiVSi2 | PBE | relaxed

Computed properties:
spin magnetization = 0.0 μB/cell
crystal system = tetragonal
ρ = 4.724 g/cm3

```
4
Lattice="2.694 0.000 0.000 0.000 2.694 0.000 0.000 0.000 7.505" Properties=species:S:1:pos:R:3 pbc="T T T"
Si 0.000 0.000 5.696
Si 0.000 0.000 1.809
Ti 1.347 1.347 3.752
V 1.347 1.347 0.000
```

---

Which one sits at the top of the stability order? a does.

---

a:
TiVSi2 | PBE | relaxed

Computed properties:
spin magnetization = 0.0 μB/cell
crystal system = tetragonal
ρ = 4.271 g/cm3

```
8
Lattice="-5.834 -0.330 3.255 -0.582 -6.444 -1.698 -1.912 -4.097 3.030" Properties=species:S:1:pos:R:3 pbc="T T T"
Si -4.260 -2.040 2.615
Si -1.508 -5.090 0.068
Si -3.834 -5.544 2.875
Si -7.055 -9.070 3.617
V 0.000 0.000 0.000
V -5.477 -3.907 3.532
Ti -3.208 -3.387 0.779
Ti -2.851 -6.964 1.056
```

---

b:
TiVSi2 | PBE | relaxed

Computed properties:
spin magnetization = 0.8 μB/cell
crystal system = cubic
ρ = 4.543 g/cm3

```
4
Lattice="0.000 3.048 3.048 3.048 0.000 3.048 3.048 3.048 0.000" Properties=species:S:1:pos:R:3 pbc="T T T"
Si 1.524 1.524 1.524
Si 4.573 4.573 4.573
V 3.048 3.048 3.048
Ti 0.000 0.000 0.000
```

---

Which one sits at the top of the stability order? b does.

---

a:
TiSi2W2 | PBE | relaxed

Computed properties:
spin magnetization = 0.0 μB/cell
crystal system = tetragonal
ρ = 9.985 g/cm3

```
5
Lattice="-0.428 -3.110 1.241 3.221 -0.724 -0.704 3.262 0.316 6.509" Properties=species:S:1:pos:R:3 pbc="T T T"
Si 2.115 -2.355 4.009
Si 3.939 -1.163 3.037
W 1.805 -1.427 1.637
W 4.249 -2.090 5.410
Ti 0.000 0.000 0.000
```

---

b:
TiSi2W2 | PBE | relaxed

Computed properties:
spin magnetization = 0.0 μB/cell
crystal system = tetragonal
ρ = 10.647 g/cm3

```
10
Lattice="6.665 0.000 0.000 0.000 6.665 0.000 0.000 0.000 3.312" Properties=species:S:1:pos:R:3 pbc="T T T"
Si 2.430 5.763 0.000
Si 5.763 4.235 0.000
Si 4.235 0.902 0.000
Si 0.902 2.430 0.000
W 1.060 4.392 1.656
W 4.392 5.606 1.656
W 5.606 2.273 1.656
W 2.273 1.060 1.656
Ti 0.000 0.000 0.000
Ti 3.333 3.333 0.000
```

---

c:
TiSi2W2 | PBE | relaxed

Computed properties:
spin magnetization = 0.0 μB/cell
crystal system = tetragonal
ρ = 10.123 g/cm3

```
10
Lattice="7.262 0.000 0.000 0.000 7.262 0.000 0.000 0.000 2.934" Properties=species:S:1:pos:R:3 pbc="T T T"
Si 1.155 4.786 1.467
Si 4.786 6.108 1.467
Si 6.108 2.476 1.467
Si 2.476 1.155 1.467
W 2.637 6.268 0.000
W 6.268 4.625 0.000
W 4.625 0.994 0.000
W 0.994 2.637 0.000
Ti 0.000 0.000 0.000
Ti 3.631 3.631 0.000
```

---

Which one sits at the top of the stability order? b does.

---

a:
TiSi2W | PBE | relaxed

Computed properties:
spin magnetization = 0.0 μB/cell
crystal system = tetragonal
ρ = 5.256 g/cm3

```
8
Lattice="5.503 0.000 0.000 0.000 5.503 0.000 2.751 2.751 6.007" Properties=species:S:1:pos:R:3 pbc="T T T"
Si 4.233 1.376 1.502
Si 1.270 4.127 1.502
Si 4.127 4.021 4.505
Si 6.879 6.985 4.505
W 0.000 0.000 0.000
W 5.503 2.751 3.003
Ti 2.751 2.751 0.000
Ti 2.751 5.503 3.003
```

---

b:
TiSi2W | PBE | relaxed

Computed properties:
spin magnetization = 0.0 μB/cell
crystal system = cubic
ρ = 8.229 g/cm3

```
4
Lattice="0.000 3.074 3.074 3.074 0.000 3.074 3.074 3.074 0.000" Properties=species:S:1:pos:R:3 pbc="T T T"
Si 1.537 1.537 1.537
Si 4.611 4.611 4.611
W 3.074 3.074 3.074
Ti 0.000 0.000 0.000
```

---

c:
TiSi2W | PBE | relaxed

Computed properties:
spin magnetization = 0.0 μB/cell
crystal system = trigonal
ρ = 7.436 g/cm3

```
4
Lattice="-3.113 -0.322 -1.642 -1.253 -3.207 -0.798 -4.207 -1.411 4.450" Properties=species:S:1:pos:R:3 pbc="T T T"
Si -2.136 -1.234 0.488
Si -6.437 -3.706 1.522
W 0.000 0.000 0.000
Ti -4.286 -2.470 1.005
```

---

Which one sits at the top of the stability order? b does.